# Sc2Ta2Hg

A relaxed structure of Sc2Ta2Hg (PBE, Alexandria via LeMat-Bulk).

a = 7.4095 Å, b = 7.4095 Å, c = 3.8805 Å
α = 90.00°, β = 90.00°, γ = 90.00°
With the nearest neighbours (Å) after each atom.
Sites, in units of the cell vectors:
Hg  0.5000  0.5000  0.0000  4 Ta 2.92
Sc  0.3329  0.1671  0.5000  6 Ta 2.91-2.93
Sc  0.6671  0.8329  0.5000  6 Ta 2.91-2.93
Sc  0.1671  0.6671  0.5000  6 Ta 2.91-2.93
Ta  0.8739  0.6261  0.0000  1 Ta 2.64, 6 Sc 2.91-2.93, 2 Hg 2.92
Ta  0.3739  0.8739  0.0000  1 Ta 2.64, 6 Sc 2.91-2.93, 2 Hg 2.92
Hg  0.0000  0.0000  0.0000  4 Ta 2.92
Ta  0.1261  0.3739  0.0000  1 Ta 2.64, 6 Sc 2.91-2.93, 2 Hg 2.92
Ta  0.6261  0.1261  0.0000  1 Ta 2.64, 6 Sc 2.91-2.93, 2 Hg 2.92
Sc  0.8329  0.3329  0.5000  6 Ta 2.91-2.93

***

# ScTa3Hg

A relaxed structure of ScTa3Hg (PBE, Alexandria via LeMat-Bulk).

a = 4.7683 Å, b = 4.7683 Å, c = 4.7683 Å
α = 90.00°, β = 90.00°, γ = 90.00°
With the nearest neighbours (Å) after each atom.
Sites, in units of the cell vectors:
Hg  0.5000  0.5000  0.5000  12 Ta 3.37
Sc  0.0000  0.0000  0.0000  6 Ta 2.38
Ta  0.0000  0.5000  0.0000  2 Sc 2.38
Ta  0.5000  0.0000  0.0000  2 Sc 2.38
Ta  0.0000  0.0000  0.5000  2 Sc 2.38

***

# Sc4TaHg

A relaxed structure of Sc4TaHg (PBE, Alexandria via LeMat-Bulk).

a = 5.6851 Å, b = 5.6851 Å, c = 5.6851 Å
α = 60.00°, β = 60.00°, γ = 60.00°
With the nearest neighbours (Å) after each atom.
Sites, in units of the cell vectors:
Ta  0.7500  0.7500  0.7500  12 Sc 3.33, 4 Hg 3.48
Sc  0.3762  0.8715  0.3762  6 Sc 2.82-2.87
Sc  0.8715  0.3762  0.3762  6 Sc 2.82-2.87
Sc  0.3762  0.3762  0.3762  6 Sc 2.82-2.87
Hg  0.0000  0.0000  0.0000  12 Sc 3.34, 4 Ta 3.48
Sc  0.3762  0.3762  0.8715  6 Sc 2.82-2.87

***

# Sc3TaHg

A relaxed structure of Sc3TaHg (PBE, Alexandria via LeMat-Bulk).

a = 5.1746 Å, b = 5.1746 Å, c = 5.1746 Å
α = 90.00°, β = 90.00°, γ = 90.00°
With the nearest neighbours (Å) after each atom.
Sites, in units of the cell vectors:
Sc  0.0000  0.5000  0.0000  2 Hg 2.59
Sc  0.0000  0.0000  0.5000  2 Hg 2.59
Hg  0.0000  0.0000  0.0000  6 Sc 2.59
Sc  0.5000  0.0000  0.0000  2 Hg 2.59
Ta  0.5000  0.5000  0.5000  12 Sc 3.66

***

# Sc3TaHg

A relaxed structure of Sc3TaHg (PBE, Alexandria via LeMat-Bulk).

a = 5.1319 Å, b = 5.1319 Å, c = 5.1319 Å
α = 90.00°, β = 90.00°, γ = 90.00°
With the nearest neighbours (Å) after each atom.
Sites, in units of the cell vectors:
Ta  0.0000  0.0000  0.0000  6 Sc 2.57
Sc  0.0000  0.0000  0.5000  2 Ta 2.57
Hg  0.5000  0.5000  0.5000  12 Sc 3.63
Sc  0.0000  0.5000  0.0000  2 Ta 2.57
Sc  0.5000  0.0000  0.0000  2 Ta 2.57

***

# ScTaHg4

A relaxed structure of ScTaHg4 (PBE, Alexandria via LeMat-Bulk).

a = 5.7021 Å, b = 5.7021 Å, c = 5.7021 Å
α = 60.00°, β = 60.00°, γ = 60.00°
With the nearest neighbours (Å) after each atom.
Sites, in units of the cell vectors:
Ta  0.0000  0.0000  0.0000  12 Hg 3.34, 4 Sc 3.49
Sc  0.7500  0.7500  0.7500  12 Hg 3.34, 4 Ta 3.49
Hg  0.3748  0.8757  0.3748  6 Hg 2.85-2.86
Hg  0.8757  0.3748  0.3748  6 Hg 2.85-2.86
Hg  0.3748  0.3748  0.8757  6 Hg 2.85-2.86
Hg  0.3748  0.3748  0.3748  6 Hg 2.85-2.86

***

Number 1: formation enthalpy at 0 K 0.2705 eV/atom. Number 2: formation enthalpy at 0 K 1.8528 eV/atom. Number 3: formation enthalpy at 0 K 0.4085 eV/atom. Number 4: formation enthalpy at 0 K 0.9907 eV/atom. Number 5: formation enthalpy at 0 K 0.6316 eV/atom. Number 6: formation enthalpy at 0 K 0.4306 eV/atom.